No. 1
Here is crystalline MgCdAg at its relaxed geometry from Alexandria. Energies are from PBEsol.

The structure in POSCAR format:
```
MgCdAg
1.0
-1.3051 2.8992 0.5055
-0.7492 -0.9544 3.5397
5.1467 0.6536 -0.7123
Ag Cd Mg
1 1 1
direct
0.9961 0.9961 0.9921
0.6637 0.6637 0.3273
0.3403 0.3403 0.6805
```

energy of formation	-167	meV/atom
energy above the lowest structure with this stoichiometry	0.0	meV/atom
magnetic moment	0.00	μB/f.u.

No. 2
Here is crystalline CrGe3Mo at its relaxed geometry from Alexandria. Energies are from PBEsol.

The structure in POSCAR format:
```
CrGe3Mo
1.0
4.8159 0.0000 0.0000
0.0000 4.8159 0.0000
0.0000 0.0000 4.8159
Cr Mo Ge
1 1 3
direct
0.5000 0.5000 0.5000
0.0000 0.0000 0.0000
0.0000 0.0000 0.5000
0.5000 0.0000 0.0000
0.0000 0.5000 0.0000
```

energy of formation	809	meV/atom
magnetic moment	5.24	μB/f.u.

No. 3
Here is crystalline OsSeIN2 at its relaxed geometry from Alexandria. Energies are from PBEsol.

The structure in POSCAR format:
```
OsSeIN2
1.0
-1.6907 -2.4373 2.4323
2.9913 -2.3818 -0.3075
2.6511 2.7375 4.5858
Se Os I N
1 1 1 2
direct
0.0000 0.0000 0.5000
0.5000 0.5000 0.5000
0.0000 0.0000 0.0000
0.5000 0.0000 0.0000
0.0000 0.5000 0.0000
```

uncorrected formation energy	2464	meV per atom
magnetic moment	2.71	μB/f.u.

No. 4
Here is crystalline Mg2HgPd2 at its relaxed geometry from Alexandria. Energies are from PBEsol.

The structure in POSCAR format:
```
Mg2HgPd2
1.0
-1.9424 0.3551 2.3385
-0.7578 -7.4370 0.4998
5.7402 -0.2618 4.8077
Mg Pd Hg
4 4 2
direct
0.5000 0.1598 0.6598
0.5000 0.8402 0.3402
0.5000 0.6598 0.8402
0.5000 0.3402 0.1598
0.0000 0.8641 0.6359
0.0000 0.3641 0.8641
0.0000 0.6359 0.1359
0.0000 0.1359 0.3641
0.0000 0.0000 0.0000
0.0000 0.5000 0.5000
```

energy of formation	-523	meV/atom
magnetic moment	0.00	μB/f.u.

No. 5
Here is crystalline ZrCl3 at its relaxed geometry from Alexandria. Energies are from PBEsol.

The structure in POSCAR format:
```
ZrCl3
1.0
-1.3416 1.6908 2.5697
-4.5637 -1.3571 -1.4897
0.6843 -9.6961 6.7371
Cl Zr
6 2
direct
0.7517 0.5000 0.3409
0.2483 0.0000 0.8409
0.7517 0.5000 0.6591
0.2524 0.0000 0.5000
0.2483 0.0000 0.1591
0.7476 0.5000 0.0000
0.2518 0.5000 0.5000
0.7482 0.0000 0.0000
```

uncorrected formation energy	-1703	meV per atom
magnetic moment	0.00	μB/f.u.

No. 6
Here is crystalline HgRu2Pt at its relaxed geometry from Alexandria. Energies are from PBEsol.

The structure in POSCAR format:
```
HgRu2Pt
1.0
2.7885 0.0000 0.0000
0.0000 4.6907 0.0000
0.0000 0.0000 4.6907
Pt Ru Hg
1 2 1
direct
0.5000 0.0000 0.0000
0.0000 0.0000 0.5000
0.0000 0.5000 0.0000
0.5000 0.5000 0.5000
```

energy of formation	568	meV/atom
magnetic moment	0.00	μB/f.u.

No. 7
Here is crystalline Ta2IrPt at its relaxed geometry from Alexandria. Energies are from PBEsol.

The structure in POSCAR format:
```
Ta2IrPt
1.0
2.8164 0.0000 0.0000
0.0000 3.9632 0.0000
0.0000 0.0000 5.6287
Ta Pt Ir
2 1 1
direct
0.0000 0.0000 0.7547
0.0000 0.0000 0.2453
0.5000 0.5000 0.5000
0.5000 0.5000 0.0000
```

energy of formation	-643	meV/atom
magnetic moment	0.00	μB/f.u.

No. 8
Here is crystalline ScTaFe2 at its relaxed geometry from Alexandria. Energies are from PBEsol.

The structure in POSCAR format:
```
ScTaFe2
1.0
-0.3894 1.6773 -2.4877
-2.8330 -1.0318 -0.2522
-2.0029 4.6554 3.4524
Ta Sc Fe
1 1 2
direct
0.5000 0.5000 0.5000
0.5000 0.5000 0.0000
0.0000 0.0000 0.2668
0.0000 0.0000 0.7332
```

energy of formation	-241	meV/atom
energy above the lowest structure with this stoichiometry	0.0	meV/atom
magnetic moment	0.00	μB/f.u.

Look up the magnetic moment of the fifth one.
0.00 μB/f.u.